This record from Alexandria describes a relaxed GaNi3I crystal. The functional is GGA-PBE.

Cell and atoms, written as POSCAR:
```
GaNi3I
1.0
4.669 0.000 0.000
0.000 4.669 0.000
0.000 0.000 4.669
Ga Ni I
1 3 1
Direct
0.000 0.000 0.000
0.000 0.500 0.500
0.500 0.000 0.500
0.500 0.500 0.000
0.500 0.500 0.500
```

Output
Uncorrected formation energy = 0.916 eV per atom
ΔE to the lowest computed polymorph = 246 meV per atom
Symmetry = Pm-3m (221)
M_tot = 0.000 μB/cell

***

This record from Alexandria describes a relaxed La2BeBr crystal. The functional is GGA-PBE.

Cell and atoms, written as POSCAR:
```
La2BeBr
1.0
3.547 0.000 0.000
0.000 3.547 0.000
0.000 0.000 8.287
La Be Br
2 1 1
Direct
0.000 0.000 0.214
0.000 0.000 0.786
0.500 0.500 0.000
0.500 0.500 0.500
```

Output
Uncorrected formation energy = -0.513 eV per atom
ΔE to the lowest computed polymorph = 18 meV per atom
Symmetry = P4/mmm (123)
M_tot = 0.000 μB/cell

***

This record from Alexandria describes a relaxed NaMgGe2 crystal. The functional is GGA-PBE.

Cell and atoms, written as POSCAR:
```
NaMgGe2
1.0
4.412 0.000 0.000
0.000 4.412 0.000
0.000 0.000 4.114
Na Mg Ge
1 1 2
Direct
0.000 0.000 0.000
0.500 0.500 0.000
0.000 0.500 0.500
0.500 0.000 0.500
```

Output
Energy of formation from the pure elements = -16.2 meV/atom
Symmetry = P4/mmm (123)
M_tot = 0.000 μB/cell

***

This record from Alexandria describes a relaxed Sr4YRu crystal. The functional is GGA-PBE.

Cell and atoms, written as POSCAR:
```
Sr4YRu
1.0
0.000 4.921 4.921
4.921 0.000 4.921
4.921 4.921 0.000
Sr Y Ru
4 1 1
Direct
0.376 0.376 0.376
0.376 0.376 0.873
0.376 0.873 0.376
0.873 0.376 0.376
0.000 0.000 0.000
0.750 0.750 0.750
```

Output
Energy of formation from the pure elements = 1050.3 meV/atom
Symmetry = F-43m (216)
M_tot = 1.890 μB/cell

***

This record from Alexandria describes a relaxed Ac2AlCuNi6 crystal. The functional is GGA-PBE.

Cell and atoms, written as POSCAR:
```
Ac2AlCuNi6
1.0
6.180 0.000 0.000
2.980 5.426 0.000
2.979 1.772 5.132
Ac Al Cu Ni
2 1 1 6
Direct
0.197 0.197 0.197
0.803 0.803 0.803
0.500 0.500 0.500
0.000 0.000 0.000
0.168 0.615 0.320
0.320 0.168 0.615
0.385 0.680 0.831
0.615 0.320 0.169
0.680 0.832 0.385
0.832 0.385 0.680
```

Output
Energy of formation from the pure elements = -231.0 meV/atom
Symmetry = P-1 (2)
M_tot = 0.000 μB/cell

***

This record from Alexandria describes a relaxed AlSCl crystal. The functional is GGA-PBE.

Cell and atoms, written as POSCAR:
```
AlSCl
1.0
6.696 -1.750 0.000
6.696 1.750 0.000
-3.062 0.000 6.541
Al S Cl
2 2 2
Direct
0.000 0.000 0.000
0.694 0.694 0.026
0.092 0.092 0.800
0.576 0.576 0.209
0.310 0.310 0.238
0.821 0.821 0.829
```

Output
Uncorrected formation energy = -1.242 eV per atom
Symmetry = Cm (8)
M_tot = 0.000 μB/cell

***

This record from Alexandria describes a relaxed Mo crystal. The functional is GGA-PBE.

Cell and atoms, written as POSCAR:
```
Mo
1.0
-3.881 3.881 2.289
3.881 -3.881 2.289
3.881 3.881 -2.289
Mo
8
Direct
0.019 0.677 0.696
0.314 0.355 0.669
0.323 0.019 0.341
0.355 0.686 0.042
0.645 0.314 0.958
0.677 0.981 0.659
0.686 0.645 0.331
0.981 0.323 0.304
```

Output
Energy of formation from the pure elements = 529.6 meV/atom
ΔE to the lowest computed polymorph = 530 meV per atom
Symmetry = I4/m (87)
M_tot = 0.000 μB/cell

***

This record from Alexandria describes a relaxed Ac4Pr6Y crystal. The functional is GGA-PBE.

Cell and atoms, written as POSCAR:
```
Ac4Pr6Y
1.0
-3.610 3.610 8.467
3.610 -3.610 8.467
3.610 3.610 -8.467
Ac Pr Y
4 6 1
Direct
0.013 0.626 0.000
0.374 0.374 0.387
0.626 0.013 0.000
0.987 0.987 0.613
0.000 0.500 0.500
0.227 0.227 0.661
0.433 0.773 0.000
0.500 0.000 0.500
0.567 0.567 0.339
0.773 0.433 0.000
0.000 0.000 0.000
```

Output
Energy of formation from the pure elements = 237.9 meV/atom
Symmetry = I-42m (121)
M_tot = 0.000 μB/cell

***

This record from Alexandria describes a relaxed BaMgCr crystal. The functional is GGA-PBE.

Cell and atoms, written as POSCAR:
```
BaMgCr
1.0
5.189 0.000 0.000
-2.594 4.494 0.000
0.000 0.000 4.454
Ba Mg Cr
1 1 1
Direct
0.000 0.000 0.000
0.667 0.333 0.500
0.333 0.667 0.500
```

Output
Energy of formation from the pure elements = 525.4 meV/atom
ΔE to the lowest computed polymorph = 13 meV per atom
Symmetry = P-6m2 (187)
M_tot = 4.768 μB/cell

***

This record from Alexandria describes a relaxed LiYMo2 crystal. The functional is GGA-PBE.

Cell and atoms, written as POSCAR:
```
LiYMo2
1.0
-2.311 2.343 3.290
2.311 -2.343 3.290
2.311 2.343 -3.290
Li Y Mo
1 1 2
Direct
0.000 0.000 0.000
0.748 0.248 0.500
0.251 0.751 0.500
0.497 0.497 0.000
```

Output
Energy of formation from the pure elements = 344.2 meV/atom
ΔE to the lowest computed polymorph = 83 meV per atom
Symmetry = Imm2 (44)
M_tot = 0.000 μB/cell

***

This record from Alexandria describes a relaxed LiHg2Mo crystal. The functional is GGA-PBE.

Cell and atoms, written as POSCAR:
```
LiHg2Mo
1.0
5.398 -1.411 0.000
5.398 1.411 0.000
-1.642 0.000 4.895
Li Hg Mo
1 2 1
Direct
0.000 0.000 0.000
0.500 0.500 0.520
0.750 0.750 0.068
0.243 0.243 0.563
```

Output
Energy of formation from the pure elements = 282.4 meV/atom
ΔE to the lowest computed polymorph = 90 meV per atom
Symmetry = Cm (8)
M_tot = 0.440 μB/cell

***

This record from Alexandria describes a relaxed SrInCo crystal. The functional is GGA-PBE.

Cell and atoms, written as POSCAR:
```
SrInCo
1.0
4.504 0.000 0.000
-2.252 3.900 0.000
0.000 0.000 4.456
Sr In Co
1 1 1
Direct
0.000 0.000 0.000
0.333 0.667 0.500
0.667 0.333 0.500
```

Output
Energy of formation from the pure elements = 97.8 meV/atom
Symmetry = P-6m2 (187)
M_tot = 0.712 μB/cell

***

Which of these has the highest M_tot? BaMgCr